Entry from the Alexandria database: a relaxed Tl2CrPb crystal (PBE-GGA).

POSCAR file:
```
Tl2CrPb
1.0
5.5726 -0.0183 -0.0595
-2.6503 5.9287 -0.0003
0.2721 1.0056 3.2708
Tl Cr Pb
2 1 1
Direct
0.0000 0.0000 0.0000
0.5000 0.0000 0.5000
0.0000 0.5000 0.5000
0.5000 0.5000 0.0000
```

V	108	Å³/f.u.
spin magnetization	1.091	μB/atom
D(E_F)	2.248	states/eV per cell
final energy	-4.059	eV per atom
ΔH_f (0 K)	176	kJ/mol of formula units
energy above the most stable polymorph in this dataset	0.49	eV per formula unit

=====

Entry from the Alexandria database: a relaxed ReBN2 crystal (PBE-GGA).

POSCAR file:
```
ReBN2
1.0
4.3803 0.0000 0.0000
0.0000 4.3803 0.0000
2.1901 2.1901 3.6370
Re B N
2 2 4
Direct
0.0000 0.0000 0.0000
0.7500 0.2500 0.5000
0.2500 0.7500 0.5000
0.5000 0.5000 0.0000
0.2174 0.6250 0.2500
0.3750 0.4674 0.7500
0.8750 0.7826 0.7500
0.5326 0.1250 0.2500
```

V	35	Å³/f.u.
spin magnetization	0.000	μB/atom
raw formation energy	-0.018	eV per atom
D(E_F)	0.827	states/eV per cell
final energy	-8.962	eV per atom

=====

Entry from the Alexandria database: a relaxed CrSe2I crystal (PBE-GGA).

POSCAR file:
```
CrSe2I
1.0
0.0000 3.5424 3.5424
3.5424 0.0000 3.5424
3.5424 3.5424 0.0000
Cr Se I
1 2 1
Direct
0.0000 0.0000 0.0000
0.2500 0.2500 0.2500
0.7500 0.7500 0.7500
0.5000 0.5000 0.5000
```

V	89	Å³/f.u.
spin magnetization	0.698	μB/atom
raw formation energy	0.664	eV per atom
D(E_F)	3.708	states/eV per cell
final energy	-3.872	eV per atom
energy above the most stable polymorph in this dataset	3.37	eV per formula unit

=====

Entry from the Alexandria database: a relaxed PtPb2Br crystal (PBE-GGA).

POSCAR file:
```
PtPb2Br
1.0
9.0066 -0.0029 -0.0017
8.2009 3.7234 -0.0017
8.2009 1.7731 3.2741
Pb Pt Br
2 1 1
Direct
0.2295 0.2295 0.2295
0.0059 0.0059 0.0059
0.5014 0.5014 0.5014
0.7633 0.7633 0.7633
```

V	110	Å³/f.u.
spin magnetization	0.000	μB/atom
raw formation energy	-0.059	eV per atom
D(E_F)	1.559	states/eV per cell
final energy	-3.841	eV per atom
energy above the most stable polymorph in this dataset	1.30	eV per formula unit

=====

Entry from the Alexandria database: a relaxed Tb3Ho6Mg crystal (PBE-GGA).

POSCAR file:
```
Tb3Ho6Mg
1.0
4.9879 0.0000 0.0000
0.0000 11.0597 -0.1267
0.0000 0.0722 11.1196
Ho Tb Mg
12 6 2
Direct
0.2500 0.1498 0.1971
0.7500 0.9515 0.1007
0.2500 0.6535 0.7002
0.2500 0.2453 0.4986
0.7500 0.7547 0.5014
0.7500 0.8502 0.8029
0.2500 0.0485 0.8993
0.2500 0.4481 0.1023
0.7500 0.5519 0.8977
0.7500 0.3465 0.2998
0.7500 0.1475 0.6948
0.2500 0.8525 0.3052
0.2500 0.5511 0.4004
0.7500 0.6517 0.2035
0.7500 0.2480 0.9970
0.2500 0.7520 0.0030
0.7500 0.4489 0.5996
0.2500 0.3483 0.7965
0.2500 0.9514 0.5990
0.7500 0.0486 0.4010
```

V	307	Å³/f.u.
spin magnetization	0.000	μB/atom
D(E_F)	27.256	states/eV per cell
final energy	-4.275	eV per atom
ΔH_f (0 K)	20	kJ/mol of formula units
energy above the most stable polymorph in this dataset	0.00	eV per formula unit

=====

Entry from the Alexandria database: a relaxed Ba3Tl6SnPb2 crystal (PBE-GGA).

POSCAR file:
```
Ba3Tl6SnPb2
1.0
6.5221 0.0000 0.0000
-3.2611 5.6483 0.0000
0.0000 0.0000 11.6408
Tl Pb Ba Sn
6 2 3 1
Direct
0.8306 0.6612 0.7395
0.1694 0.8306 0.2605
0.3388 0.1694 0.7395
0.8306 0.1694 0.7395
0.1694 0.3388 0.2605
0.6612 0.8306 0.2605
0.3333 0.6667 0.8844
0.6667 0.3333 0.1156
0.6667 0.3333 0.4350
0.3333 0.6667 0.5650
0.0000 0.0000 0.0000
0.0000 0.0000 0.5000
```

V	429	Å³/f.u.
spin magnetization	0.000	μB/atom
D(E_F)	8.661	states/eV per cell
final energy	-2.825	eV per atom
ΔH_f (0 K)	-243	kJ/mol of formula units

=====

Entry from the Alexandria database: a relaxed OsI2Cl crystal (PBE-GGA).

POSCAR file:
```
OsI2Cl
1.0
0.0000 3.5073 3.5073
3.5073 0.0000 3.5073
3.5073 3.5073 0.0000
I Os Cl
2 1 1
Direct
0.2500 0.2500 0.2500
0.7500 0.7500 0.7500
0.5000 0.5000 0.5000
0.0000 0.0000 0.0000
```

V	86	Å³/f.u.
spin magnetization	0.000	μB/atom
raw formation energy	1.061	eV per atom
D(E_F)	2.607	states/eV per cell
final energy	-2.983	eV per atom
energy above the most stable polymorph in this dataset	2.09	eV per formula unit

=====

Entry from the Alexandria database: a relaxed Tb2HoGa crystal (PBE-GGA).

POSCAR file:
```
Tb2HoGa
1.0
3.5229 0.0000 0.0000
0.0000 3.5229 0.0000
0.0000 0.0000 8.9014
Tb Ga Ho
2 1 1
Direct
0.0000 0.0000 0.2107
0.0000 0.0000 0.7893
0.5000 0.5000 0.0000
0.5000 0.5000 0.5000
```

V	110	Å³/f.u.
spin magnetization	0.000	μB/atom
D(E_F)	4.426	states/eV per cell
final energy	-4.484	eV per atom
ΔH_f (0 K)	-103	kJ/mol of formula units
energy above the most stable polymorph in this dataset	0.03	eV per formula unit

=====

Entry from the Alexandria database: a relaxed BaLaI2N crystal (PBE-GGA).

POSCAR file:
```
BaLaI2N
1.0
6.5858 0.0000 0.0000
0.0000 6.5858 0.0000
0.0000 0.0000 4.3183
N La I Ba
1 1 2 1
Direct
0.0000 0.0000 0.5000
0.0000 0.0000 0.0000
0.0000 0.5000 0.0000
0.5000 0.0000 0.0000
0.5000 0.5000 0.5000
```

V	187	Å³/f.u.
spin magnetization	0.036	μB/atom
raw formation energy	-1.015	eV per atom
D(E_F)	2.482	states/eV per cell
final energy	-4.670	eV per atom
energy above the most stable polymorph in this dataset	1.69	eV per formula unit

=====

Entry from the Alexandria database: a relaxed CdTcAs2 crystal (PBE-GGA).

POSCAR file:
```
CdTcAs2
1.0
3.5514 0.0000 0.0000
0.0000 4.8879 0.0000
0.0000 0.0000 4.1232
As Tc Cd
2 1 1
Direct
0.5000 0.5000 0.0000
0.0000 0.0000 0.0000
0.0000 0.5000 0.5000
0.5000 0.0000 0.5000
```

V	72	Å³/f.u.
spin magnetization	0.000	μB/atom
D(E_F)	3.564	states/eV per cell
final energy	-4.626	eV per atom
ΔH_f (0 K)	200	kJ/mol of formula units